1.
The following is a PBE calculation of BaBi6Au2 after structural relaxation, from Alexandria via LeMat-Bulk.

Values from the calculation:
* calculated total energy: -0.135 hartree per atom
* energy of formation from the pure elements: -0.14 eV/atom

a b c (Å): 8.8129 8.8129 4.6695
angles (deg): 105.17 105.17 60.60
Closest atoms and distances in Å follow each position.
Element x y z (fractional)
Ba  0.0000  0.0000  0.0000  2 Au 3.50, 8 Bi 3.70-3.72
Bi  0.1381  0.5205  0.8282  3 Au 2.93-3.16
Bi  0.3253  0.6747  0.5000  5 Bi 3.11-3.42
Bi  0.4795  0.8619  0.1718  3 Au 2.93-3.16
Bi  0.5205  0.1381  0.8282  3 Au 2.93-3.16
Bi  0.6747  0.3253  0.5000  5 Bi 3.11-3.42
Bi  0.8619  0.4795  0.1718  3 Au 2.93-3.16
Au  0.2413  0.2413  0.2393  6 Bi 2.93-3.16
Au  0.7587  0.7587  0.7607  6 Bi 2.93-3.16



2.
The following is a PBE calculation of Ac2NdSm5Y after structural relaxation, from Alexandria via LeMat-Bulk.

Values from the calculation:
* calculated total energy: -0.171 hartree per atom
* energy of formation from the pure elements: 0.14 eV/atom

a b c (Å): 10.6928 10.6928 11.0451
angles (deg): 90.00 90.00 148.26
Closest atoms and distances in Å follow each position.
Element x y z (fractional)
Ac  0.1100  0.8900  0.5000  7 Sm 3.51-3.85, 1 Nd 3.63, 2 Y 3.90
Ac  0.1196  0.8804  0.0907  8 Sm 3.41-3.70
Ac  0.8804  0.1196  0.5907  8 Sm 3.41-3.70
Ac  0.8900  0.1100  0.0000  7 Sm 3.51-3.85, 1 Nd 3.63, 2 Y 3.90
Nd  0.2087  0.7913  0.7725  8 Sm 3.62-3.91, 2 Ac 3.63-3.96, 2 Y 3.85
Nd  0.7913  0.2087  0.2725  8 Sm 3.62-3.91, 2 Ac 3.63-3.96, 2 Y 3.85
Sm  0.0203  0.9797  0.7947  2 Y 3.32, 2 Ac 3.51-3.66
Sm  0.2850  0.7150  0.0677  1 Y 3.16, 1 Ac 3.41
Sm  0.2960  0.7040  0.4655  1 Y 3.52, 3 Sm 3.55-3.77, 3 Nd 3.62-3.84, 3 Ac 3.67-3.85
Sm  0.3986  0.6014  0.7930  5 Sm 3.48-3.85, 4 Ac 3.70-3.72
Sm  0.4780  0.5220  0.5090  2 Y 3.34-3.37, 2 Sm 3.48-3.54, 2 Ac 3.66
Sm  0.5220  0.4780  0.0090  2 Y 3.34-3.37, 2 Sm 3.48-3.54, 2 Ac 3.66
Sm  0.6014  0.3986  0.2930  5 Sm 3.48-3.85, 4 Ac 3.70-3.72
Sm  0.7040  0.2960  0.9655  1 Y 3.52, 3 Sm 3.55-3.77, 3 Nd 3.62-3.84, 3 Ac 3.67-3.85
Sm  0.7150  0.2850  0.5677  1 Y 3.16, 1 Ac 3.41
Sm  0.9797  0.0203  0.2947  2 Y 3.32, 2 Ac 3.51-3.66
Y  0.4113  0.5887  0.2304  6 Sm 3.16-3.52
Y  0.5887  0.4113  0.7304  6 Sm 3.16-3.52



3.
The following is a PBE calculation of MnHgSe after structural relaxation, from Alexandria via LeMat-Bulk.

Values from the calculation:
* calculated total energy: -0.160 hartree per atom
* polymorph energy (0 for the lowest one): 125.2 meV/atom
* formation energy (no corrections): -0.1 eV per formula unit

a b c (Å): 6.5309 6.5309 6.4999
angles (deg): 111.44 111.44 27.20
Closest atoms and distances in Å follow each position.
Element x y z (fractional)
Mn  0.1625  0.1625  0.3777  3 Se 2.32-2.33
Mn  0.8375  0.8375  0.6223  3 Se 2.32-2.33
Hg  0.5000  0.5000  0.0000  4 Mn 2.97, 2 Se 3.03, 4 Hg 3.07-3.25
Hg  0.5000  0.5000  0.5000  4 Mn 2.91, 4 Hg 3.07-3.25
Se  0.2439  0.2439  0.7623  3 Mn 2.32-2.33
Se  0.7561  0.7561  0.2377  3 Mn 2.32-2.33